Here is Zn3As2O8 after structural relaxation from the Alexandria database. Energies are from PBEsol.

Properties
**N(E_F)**: 0.0 states/eV/cell
**Calculated total energy**: -5.71 eV/atom

Unit cell a=5.3056 b=8.4663 c=8.8816 alpha=90.00 beta=119.45 gamma=90.00
Closest atoms and distances in Å follow each position.
Positions (direct):
Zn 0.0000 0.0000 0.0000  6 O 2.03-2.19
Zn 0.0000 0.5000 0.5000  6 O 2.03-2.19
Zn 0.0152 0.1403 0.6098  4 O 1.96-2.01
Zn 0.0152 0.3597 0.1098  4 O 1.96-2.01
Zn 0.9848 0.6403 0.8902  4 O 1.96-2.01
Zn 0.9848 0.8597 0.3902  4 O 1.96-2.01
As 0.3535 0.6928 0.3067  4 O 1.71-1.73
As 0.3535 0.8072 0.8067  4 O 1.71-1.73
As 0.6465 0.1928 0.1933  4 O 1.71-1.73
As 0.6465 0.3072 0.6933  4 O 1.71-1.73
O 0.1746 0.6276 0.7449  1 As 1.73
O 0.1746 0.8724 0.2449  1 As 1.73
O 0.2128 0.5638 0.1358  1 As 1.71
O 0.2128 0.9362 0.6358  1 As 1.71
O 0.2789 0.6392 0.4664  1 As 1.71
O 0.2789 0.8608 0.9664  1 As 1.71
O 0.2812 0.1970 0.1154  1 As 1.71
O 0.2812 0.3030 0.6154  1 As 1.71
O 0.7188 0.6970 0.3846  1 As 1.71
O 0.7188 0.8030 0.8846  1 As 1.71
O 0.7211 0.1392 0.0336  1 As 1.71
O 0.7211 0.3608 0.5336  1 As 1.71
O 0.7872 0.0638 0.3642  1 As 1.71
O 0.7872 0.4362 0.8642  1 As 1.71
O 0.8254 0.1276 0.7551  1 As 1.73
O 0.8254 0.3724 0.2551  1 As 1.73